(1)
Compound: Pr3Sm2Dy6Pb
Source: the Alexandria database
Functional: GGA-PBE
Structure: relaxed

Properties
The value obtained for the formation energy is -5.8 kJ per mole of atoms.

a = 6.187 Å, b = 10.716 Å, c = 11.811 Å
α = 90.00°, β = 100.12°, γ = 90.00°
Space group C2/m (No. 12)
Symmetry-distinct sites (fractional):
Pr 0.000 0.000 0.000 x2
Pr 0.000 0.332 0.000 x4
Sm 0.000 0.166 0.500 x4
Dy 0.244 0.337 0.745 x8
Dy 0.245 0.500 0.254 x4
Pb 0.000 0.500 0.500 x2

***

(2)
Compound: Pm8HoEr6
Source: the Alexandria database
Functional: GGA-PBE
Structure: relaxed

Properties
The value obtained for the formation energy is 17.1 kJ per mole of atoms.

a = 9.3808 Å, b = 9.3808 Å, c = 6.5209 Å
α = 90.00°, β = 90.00°, γ = 120.00°
Space group P-3 (No. 147)
Symmetry-distinct sites (fractional):
Pm 0.0369 0.2864 0.1670 x6
Pm 0.3333 0.6667 0.1211 x2
Ho 0.0000 0.0000 0.5000 x1
Er 0.0943 0.4383 0.6584 x6

***

(3)
Compound: InAg2P
Source: the Alexandria database
Functional: GGA-PBE
Structure: relaxed

Properties
The calculation puts the energy above the lowest structure with this stoichiometry at 79 meV per atom. The value obtained for the formation energy is 22.9 kJ per mole of atoms.

a = 3.142 Å, b = 4.412 Å, c = 5.702 Å
α = 90.00°, β = 90.76°, γ = 90.00°
Space group P2/m (No. 10)
Symmetry-distinct sites (fractional):
In 0.000 0.000 0.000 x1
Ag 0.498 0.500 0.248 x2
P 0.500 0.000 0.500 x1

***

(4)
Compound: KRhCl2
Source: the Alexandria database
Functional: GGA-PBE
Structure: relaxed

Properties
The calculation puts the energy above the lowest structure with this stoichiometry at 209 meV per atom. The formation energy from raw total energies is -2.29 eV/f.u.

a = 3.867 Å, b = 3.867 Å, c = 7.029 Å
α = 90.00°, β = 90.00°, γ = 90.00°
Space group P4mm (No. 99)
Symmetry-distinct sites (fractional):
K 0.000 0.000 0.000 x1
Rh 0.500 0.500 0.485 x1
Cl 0.000 0.000 0.436 x1
Cl 0.500 0.500 0.839 x1

***

(5)
Compound: Tc2MoRh
Source: the Alexandria database
Functional: GGA-PBE
Structure: relaxed

Properties
The calculation puts the energy above the lowest structure with this stoichiometry at 82 meV per atom. The value obtained for the formation energy is 1.5 kJ per mole of atoms.

a = 9.114 Å, b = 2.744 Å, c = 4.801 Å
α = 90.00°, β = 99.70°, γ = 90.00°
Space group C2/m (No. 12)
Symmetry-distinct sites (fractional):
Tc 0.247 0.000 0.245 x4
Mo 0.000 0.000 0.500 x2
Rh 0.000 0.500 0.000 x2

***

(6)
Compound: Mn5Nb6Re
Source: the Alexandria database
Functional: GGA-PBE
Structure: relaxed

Properties
The value obtained for the formation energy is -12.9 kJ per mole of atoms.

a = 4.391 Å, b = 6.203 Å, c = 13.105 Å
α = 90.00°, β = 90.00°, γ = 90.00°
Space group Immm (No. 71)
Symmetry-distinct sites (fractional):
Mn 0.000 0.000 0.000 x2
Mn 0.000 0.000 0.333 x4
Mn 0.000 0.500 0.333 x4
Nb 0.000 0.247 0.169 x8
Nb 0.000 0.255 0.500 x4
Re 0.000 0.500 0.000 x2

***

Taking the records one at a time from the top gives final energy values of -4.652; -4.487; -3.226; -3.608; -9.713; -10.026 eV per atom.